# PuNb3N6

A relaxed structure of PuNb3N6 (GGA-PBE, Alexandria).

Values from the calculation:
magnetic moment: 0.443 μB per atom
total DFT energy (no corrections): -10.33 eV per atom
Fermi-level density of states: 13.11 states/eV per cell

Lattice parameters (Å, degrees): 3.1585 8.7435 8.8964 107.96 90.00 90.00
Closest atoms and distances in Å follow each position.
Element x y z (fractional)
Nb (0.7500, 0.6796, 0.5106)  6 N 2.05-2.26
Nb (0.2500, 0.5470, 0.1688)  6 N 2.06-2.22
Nb (0.2500, 0.8409, 0.9105)  6 N 2.08-2.18
Nb (0.7500, 0.1591, 0.0895)  6 N 2.08-2.18
Nb (0.2500, 0.3204, 0.4894)  6 N 2.05-2.26
Nb (0.7500, 0.4530, 0.8312)  6 N 2.06-2.22
Pu (0.7500, 0.0616, 0.6929)  8 N 2.29-2.55
Pu (0.2500, 0.9384, 0.3071)  8 N 2.29-2.55
N (0.2500, 0.2835, 0.7378)  3 Nb 2.15-2.33
N (0.2500, 0.5250, 0.3929)  4 Nb 2.06-2.21
N (0.7500, 0.9185, 0.0863)  3 Nb 2.10-2.18
N (0.2500, 0.0815, 0.9137)  3 Nb 2.10-2.18
N (0.7500, 0.7936, 0.7500)  3 Nb 2.05-2.08
N (0.7500, 0.4750, 0.6071)  4 Nb 2.06-2.21
N (0.7500, 0.3913, 0.0548)  4 Nb 2.13-2.22
N (0.7500, 0.7165, 0.2622)  3 Nb 2.15-2.33
N (0.2500, 0.6087, 0.9452)  4 Nb 2.13-2.22
N (0.7500, 0.1292, 0.4634)  2 Nb 2.26, 3 Pu 2.29-2.40
N (0.2500, 0.2064, 0.2500)  3 Nb 2.05-2.08
N (0.2500, 0.8708, 0.5366)  2 Nb 2.26, 3 Pu 2.29-2.40